No. 1
Here is crystalline Cs4DyTh3Te8 at its relaxed geometry from Alexandria. Energies are from PBE-GGA.

Summary:
**Uncorrected energy**: -74.91 eV for the cell shown
**E_form (uncorrected)**: -19.50 eV/f.u.

The structure in extended XYZ format:
```
16
Lattice="4.532 2.617 9.106 -4.532 2.617 9.106 0.000 -5.233 9.106" Properties=species:S:1:pos:R:3 pbc="T T T"
Cs 0.000 0.000 0.000
Cs -2.266 -1.308 9.106
Cs -2.266 1.308 18.212
Cs 0.000 2.617 9.106
Dy 0.000 0.000 13.659
Th -4.532 0.000 13.659
Th -2.266 1.308 4.553
Th 2.266 1.308 4.553
Te 0.000 0.000 6.389
Te -2.230 -1.288 15.452
Te 0.000 -2.575 11.867
Te -2.230 1.288 11.867
Te 2.230 -1.288 15.452
Te 0.000 2.575 15.452
Te 2.230 1.288 11.867
Te 0.000 0.000 20.929
```

=====

No. 2
Here is crystalline Hg2PtOF at its relaxed geometry from Alexandria. Energies are from PBE-GGA.

Summary:
**Uncorrected energy**: -13.38 eV for the cell shown
**E_form (uncorrected)**: 0.09 eV/f.u.

The structure in extended XYZ format:
```
5
Lattice="4.843 0.000 0.000 0.000 4.843 0.000 0.000 0.000 4.029" Properties=species:S:1:pos:R:3 pbc="T T T"
Hg 0.000 2.421 0.000
Hg 2.421 0.000 0.000
Pt 0.000 0.000 2.015
O 0.000 0.000 0.000
F 2.421 2.421 2.015
```

=====

No. 3
Here is crystalline Ca2ReRh at its relaxed geometry from Alexandria. Energies are from PBE-GGA.

Summary:
**Calculated formation energy**: 49.7 kJ per mole of atoms
**Uncorrected energy**: -21.74 eV for the cell shown

The structure in extended XYZ format:
```
4
Lattice="2.878 0.000 0.000 0.000 4.475 0.000 0.000 0.000 6.148" Properties=species:S:1:pos:R:3 pbc="T T T"
Ca 0.000 0.000 1.504
Ca 0.000 0.000 4.644
Re 1.439 2.238 3.074
Rh 1.439 2.238 0.000
```

=====

No. 4
Here is crystalline SrBePb2 at its relaxed geometry from Alexandria. Energies are from PBE-GGA.

Summary:
**Calculated formation energy**: 31.8 kJ per mole of atoms
**Uncorrected energy**: -11.51 eV for the cell shown

The structure in extended XYZ format:
```
4
Lattice="3.335 -5.531 0.000 3.335 5.531 0.000 -1.749 0.000 3.181" Properties=species:S:1:pos:R:3 pbc="T T T"
Sr 0.000 0.000 0.000
Be 3.335 0.000 0.000
Pb 0.793 2.765 1.591
Pb 0.793 -2.765 1.591
```

=====

No. 5
Here is crystalline AgRh2 at its relaxed geometry from Alexandria. Energies are from PBE-GGA.

Summary:
**Calculated formation energy**: 65.7 kJ per mole of atoms
**Uncorrected energy**: -31.02 eV for the cell shown
**Relative energy among the computed polymorphs**: 521 meV/atom

The structure in extended XYZ format:
```
6
Lattice="-3.127 3.127 2.562 3.127 -3.127 2.562 3.127 3.127 -2.562" Properties=species:S:1:pos:R:3 pbc="T T T"
Ag 0.000 0.000 1.281
Ag 0.000 0.000 3.843
Rh 3.985 0.858 0.000
Rh 0.858 2.269 0.000
Rh 2.269 0.858 2.562
Rh -0.858 2.269 2.562
```

=====

No. 6
Here is crystalline PmGd2 at its relaxed geometry from Alexandria. Energies are from PBE-GGA.

Summary:
**Calculated formation energy**: 25.1 kJ per mole of atoms
**Uncorrected energy**: -64.26 eV for the cell shown
**Relative energy among the computed polymorphs**: 174 meV/atom

The structure in extended XYZ format:
```
6
Lattice="0.000 4.692 4.692 4.692 0.000 4.692 4.692 4.692 0.000" Properties=species:S:1:pos:R:3 pbc="T T T"
Pm 1.173 1.173 1.173
Pm 8.211 8.211 8.211
Gd 4.692 2.346 2.346
Gd 2.346 4.692 2.346
Gd 2.346 2.346 4.692
Gd 4.692 4.692 4.692
```

=====

No. 7
Here is crystalline Ba4NaTc3O12 at its relaxed geometry from Alexandria. Energies are from PBE-GGA.

Summary:
**Uncorrected energy**: -140.82 eV for the cell shown
**E_form (uncorrected)**: -41.22 eV/f.u.

The structure in extended XYZ format:
```
20
Lattice="-4.114 4.114 4.114 4.114 -4.114 4.114 4.114 4.114 -4.114" Properties=species:S:1:pos:R:3 pbc="T T T"
Ba 2.057 2.057 -2.057
Ba 2.057 -2.057 2.057
Ba -2.057 2.057 2.057
Ba 2.057 2.057 2.057
Na 0.000 0.000 0.000
Tc 4.114 0.000 0.000
Tc 0.000 4.114 0.000
Tc 0.000 0.000 4.114
O 2.236 0.000 0.000
O 5.992 0.000 0.000
O 4.114 2.057 0.000
O 4.114 0.000 2.057
O 0.000 2.236 0.000
O 0.000 0.000 2.236
O 2.057 4.114 0.000
O 2.057 0.000 4.114
O 0.000 5.992 0.000
O 0.000 0.000 5.992
O 0.000 4.114 2.057
O 0.000 2.057 4.114
```

=====

No. 8
Here is crystalline Ho3HgRh at its relaxed geometry from Alexandria. Energies are from PBE-GGA.

Summary:
**Calculated formation energy**: -51.4 kJ per mole of atoms
**Uncorrected energy**: -48.10 eV for the cell shown
**Relative energy among the computed polymorphs**: 32 meV/atom

The structure in extended XYZ format:
```
10
Lattice="4.564 0.000 0.000 0.000 6.833 0.000 0.000 0.000 8.445" Properties=species:S:1:pos:R:3 pbc="T T T"
Ho 1.141 0.005 1.332
Ho 1.141 3.411 1.332
Ho 1.141 5.125 4.750
Ho 3.423 1.708 3.695
Ho 3.423 3.422 7.113
Ho 3.423 6.828 7.113
Hg 1.141 1.708 5.709
Hg 3.423 5.125 2.736
Rh 1.141 5.125 7.519
Rh 3.423 1.708 0.926
```